Entry 1:
Entry from Alexandria: a relaxed structure of LiLa2Mg (GGA-PBEsol).

Cell: 3.9571 3.9571 7.4641 Å, 90.00 90.00 90.00°
Closest atoms and distances in Å follow each position.
Space group P4/mmm (No. 123)
Unique sites:
1 Li 0.0000 0.0000 0.0000 x1  8 La 3.37, 2 Mg 3.73
2 La 0.5000 0.5000 0.2517 x2  4 Mg 3.36, 4 Li 3.37, 2 La 3.71-3.76
3 Mg 0.0000 0.0000 0.5000 x1  8 La 3.36, 2 Li 3.73

Its energy above the most stable polymorph in this dataset is 0.10 eV per formula unit. The density of states at the Fermi level is 1.2200 states/eV per atom. Its formation enthalpy at 0 K is 0.04 eV/atom.

***

Entry 2:
Entry from Alexandria: a relaxed structure of Be2InRh2 (GGA-PBEsol).

Cell: 3.0753 3.0753 13.6100 Å, 90.00 90.00 90.00°
Closest atoms and distances in Å follow each position.
Space group I4/mmm (No. 139)
Unique sites:
1 Be 0.0000 0.5000 0.2500 x4  4 Be 2.17, 4 Rh 2.31
2 In 0.0000 0.0000 0.0000 x2  8 Rh 2.75, 4 In 3.08
3 Rh 0.0000 0.0000 0.3767 x4  4 Be 2.31

Its energy above the most stable polymorph in this dataset is 1.07 eV per formula unit. The density of states at the Fermi level is 0.3881 states/eV per atom. Its formation enthalpy at 0 K is -0.27 eV/atom.

***

Entry 3:
Entry from Alexandria: a relaxed structure of Ba2MnTe (GGA-PBEsol).

Cell: 4.1583 5.2441 12.1167 Å, 90.00 90.00 90.00°
Closest atoms and distances in Å follow each position.
Space group Imm2 (No. 44)
Unique sites:
1 Ba 0.0000 0.0000 0.0000 x2  4 Te 3.48, 2 Ba 3.67, 4 Mn 3.82-3.87
2 Ba 0.0000 0.5000 0.2124 x2  4 Mn 3.41, 2 Te 3.64, 2 Ba 3.67
3 Mn 0.0000 0.5000 0.7647 x2  2 Te 2.81
4 Te 0.0000 0.0000 0.4209 x2  2 Mn 2.81

The density of states at the Fermi level is 1.0027 states/eV per atom. The formation energy without anion corrections comes out at -105 kJ/mol of formula units.

***

Entry 4:
Entry from Alexandria: a relaxed structure of Ca3TcS (GGA-PBEsol).

Cell: 5.1716 5.1716 5.1716 Å, 90.00 90.00 90.00°
Closest atoms and distances in Å follow each position.
Space group Pm-3m (No. 221)
Unique sites:
1 Ca 0.0000 0.0000 0.5000 x3  2 Tc 2.59
2 Tc 0.0000 0.0000 0.0000 x1  6 Ca 2.59
3 S 0.5000 0.5000 0.5000 x1  12 Ca 3.66

The density of states at the Fermi level is 0.5517 states/eV per atom. The formation energy without anion corrections comes out at 137 kJ/mol of formula units.

***

Entry 5:
Entry from Alexandria: a relaxed structure of SnH2W2 (GGA-PBEsol).

Cell: 3.2012 3.2012 10.9306 Å, 90.00 90.00 90.00°
Closest atoms and distances in Å follow each position.
Space group I4/mmm (No. 139)
Unique sites:
1 Sn 0.0000 0.0000 0.0000 x2  8 W 2.86, 8 H 3.17, 4 Sn 3.20
2 H 0.0000 0.5000 0.2500 x4  4 W 1.88
3 W 0.0000 0.0000 0.3401 x4  4 H 1.88

For the total energy, the calculation gives -36.8 eV/f.u. The density of states at the Fermi level is 0.2956 states/eV per atom.

***

Entry 6:
Entry from Alexandria: a relaxed structure of Cr2NiAu (GGA-PBEsol).

Cell: 8.6541 2.7697 4.3413 Å, 90.00 101.68 90.00°
Closest atoms and distances in Å follow each position.
Space group C2/m (No. 12)
Unique sites:
1 Cr 0.2445 0.0000 0.1883 x4  2 Cr 2.16
2 Ni 0.0000 0.5000 0.0000 x2  6 Cr 2.51-2.52, 4 Au 2.57, 2 Ni 2.77
3 Au 0.0000 0.0000 0.5000 x2  4 Ni 2.57, 6 Cr 2.73, 2 Au 2.77

Its energy above the most stable polymorph in this dataset is 0.19 eV per formula unit. The density of states at the Fermi level is 1.0922 states/eV per atom. Its formation enthalpy at 0 K is 0.25 eV/atom.

***

Entry 7:
Entry from Alexandria: a relaxed structure of RhS2BrCl (GGA-PBEsol).

Cell: 4.5548 4.5548 4.7461 Å, 90.00 90.00 90.00°
Closest atoms and distances in Å follow each position.
Space group P4/mmm (No. 123)
Unique sites:
1 Rh 0.0000 0.0000 0.0000 x1  4 S 2.28, 2 Cl 2.37
2 S 0.0000 0.5000 0.0000 x2  2 Rh 2.28
3 Br 0.5000 0.5000 0.5000 x1  4 Cl 3.22, 8 S 3.29
4 Cl 0.0000 0.0000 0.5000 x1  2 Rh 2.37

The density of states at the Fermi level is 1.0129 states/eV per atom. The formation energy without anion corrections comes out at 129 kJ/mol of formula units.

***

Entry 8:
Entry from Alexandria: a relaxed structure of Cr2Cd (GGA-PBEsol).

Cell: 4.2618 4.2618 2.6213 Å, 90.00 90.00 120.00°
Closest atoms and distances in Å follow each position.
Space group P6/mmm (No. 191)
Unique sites:
1 Cr 0.3333 0.6667 0.0000 x2  5 Cr 2.46-2.62
2 Cd 0.0000 0.0000 0.5000 x1  2 Cd 2.62, 12 Cr 2.79

The density of states at the Fermi level is 1.3874 states/eV per atom. Its formation enthalpy at 0 K is 0.68 eV/atom.

***

Entry 9:
Entry from Alexandria: a relaxed structure of RbMg2CoBr (GGA-PBEsol).

Cell: 4.9075 4.9075 5.4496 Å, 90.00 90.00 90.00°
Closest atoms and distances in Å follow each position.
Space group P4/mmm (No. 123)
Unique sites:
1 Rb 0.0000 0.0000 0.0000 x1  4 Br 3.47, 8 Mg 3.67
2 Mg 0.0000 0.5000 0.5000 x2  2 Co 2.45
3 Co 0.5000 0.5000 0.5000 x1  4 Mg 2.45, 2 Br 2.72
4 Br 0.5000 0.5000 0.0000 x1  2 Co 2.72

The density of states at the Fermi level is 0.5244 states/eV per atom. The formation energy without anion corrections comes out at 34 kJ/mol of formula units.

***

Entry 10:
Entry from Alexandria: a relaxed structure of MoPt2Br (GGA-PBEsol).

Cell: 2.8457 4.6518 9.8850 Å, 90.00 90.00 90.00°
Closest atoms and distances in Å follow each position.
Space group Immm (No. 71)
Unique sites:
1 Mo 0.0000 0.0000 0.0000 x2  4 Pt 2.72, 4 Br 2.73, 2 Mo 2.85
2 Pt 0.0000 0.5000 0.2659 x4  2 Mo 2.72, 6 Pt 2.74-2.85, 2 Br 2.99
3 Br 0.0000 0.0000 0.5000 x2  4 Mo 2.73, 2 Br 2.85, 4 Pt 2.99

The density of states at the Fermi level is 1.0392 states/eV per atom. The formation energy without anion corrections comes out at 169 kJ/mol of formula units.

***

Entry 11:
Entry from Alexandria: a relaxed structure of MgTlCo4 (GGA-PBEsol).

Cell: 6.8360 6.8360 6.8360 Å, 90.00 90.00 90.00°
Closest atoms and distances in Å follow each position.
Space group F-43m (No. 216)
Unique sites:
1 Mg 0.0000 0.0000 0.0000 x4  12 Co 2.83, 4 Tl 2.96
2 Tl 0.2500 0.2500 0.2500 x4  12 Co 2.83, 4 Mg 2.96
3 Co 0.1254 0.1254 0.6254 x16  6 Co 2.41-2.42

The density of states at the Fermi level is 1.3418 states/eV per atom. Its formation enthalpy at 0 K is 0.19 eV/atom.

***

Entry 12:
Entry from Alexandria: a relaxed structure of KNaTeH6O6 (GGA-PBEsol).

Cell: 6.6130 6.6130 8.5702 Å, 90.00 90.00 120.00°
Closest atoms and distances in Å follow each position.
Space group P31c (No. 159)
Unique sites:
1 K 0.3333 0.6667 0.0000 x2  6 H 2.76-2.98, 9 O 2.80-3.09
2 Na 0.3333 0.6667 0.5722 x2  6 O 2.35-2.53
3 Te 0.0000 0.0000 0.0244 x2  3 O 1.88
4 H 0.0256 0.5991 0.2948 x6  1 O 1.01
5 H 0.0579 0.3771 0.3028 x6  1 O 1.01
6 O 0.0054 0.4621 0.7336 x6  2 H 1.01
7 O 0.0995 0.8118 0.4234 x6  2 H 1.63-1.66

For the total energy, the calculation gives -76.1 eV/f.u. The density of states at the Fermi level is 0.0000 states/eV per atom.

***

Entry 13:
Entry from Alexandria: a relaxed structure of Ba8Lu3Pt4O18 (GGA-PBEsol).

Cell: 8.2641 8.2641 8.2641 Å, 90.00 90.00 90.00°
Closest atoms and distances in Å follow each position.
Space group Pm-3m (No. 221)
Unique sites:
1 Ba 0.2385 0.2385 0.2385 x8  9 O 2.79-2.93
2 Lu 0.0000 0.0000 0.5000 x3  6 O 2.14
3 Pt 0.0000 0.0000 0.0000 x1  6 O 1.99
4 Pt 0.0000 0.5000 0.5000 x3  4 O 1.99
5 O 0.0000 0.0000 0.2414 x6  1 Pt 1.99, 1 Lu 2.14
6 O 0.0000 0.2589 0.5000 x12  1 Pt 1.99, 1 Lu 2.14

The density of states at the Fermi level is 0.6570 states/eV per atom. The formation energy without anion corrections comes out at -7540 kJ/mol of formula units.

***

Entry 14:
Entry from Alexandria: a relaxed structure of CdGeO3 (GGA-PBEsol).

Cell: 5.3447 10.9074 5.1668 Å, 90.00 90.00 90.00°
Closest atoms and distances in Å follow each position.
Space group Cmc2_1 (No. 36)
Unique sites:
1 Cd 0.0000 0.1155 0.0000 x4  3 O 2.06-2.29
2 Ge 0.0000 0.4412 0.0551 x4  5 O 1.71-1.91
3 O 0.0000 0.2908 0.1490 x4  1 Ge 1.71
4 O 0.2282 0.4863 0.7937 x8  2 Ge 1.88-1.91

The density of states at the Fermi level is 0.0000 states/eV per atom. The formation energy without anion corrections comes out at -655 kJ/mol of formula units.

***

Entry 15:
Entry from Alexandria: a relaxed structure of Tl2CuW (GGA-PBEsol).

Cell: 2.9976 5.2211 9.3842 Å, 90.00 90.00 90.00°
Closest atoms and distances in Å follow each position.
Space group Immm (No. 71)
Unique sites:
1 Tl 0.0000 0.0000 0.2317 x4  2 Cu 2.64, 2 W 2.93
2 Cu 0.0000 0.5000 0.5000 x2  4 Tl 2.64
3 W 0.0000 0.5000 0.0000 x2  4 Tl 2.93, 2 W 3.00, 4 Cu 3.01

The density of states at the Fermi level is 0.5578 states/eV per atom. Its formation enthalpy at 0 K is 0.92 eV/atom.

***

Entry 16:
Entry from Alexandria: a relaxed structure of MgZnIn (GGA-PBEsol).

Cell: 3.2124 4.2030 8.8442 Å, 90.00 90.00 90.00°
Closest atoms and distances in Å follow each position.
Space group Imm2 (No. 44)
Unique sites:
1 Mg 0.0000 0.0000 0.0000 x2  5 In 2.90-3.05, 5 Zn 2.98-3.01, 2 Mg 3.21
2 Zn 0.0000 0.0000 0.3366 x2  5 In 2.97-3.02, 5 Mg 2.98-3.01, 2 Zn 3.21
3 In 0.0000 0.0000 0.6725 x2  5 Mg 2.90-3.05, 5 Zn 2.97-3.02, 2 In 3.21

The density of states at the Fermi level is 0.3570 states/eV per atom. Its formation enthalpy at 0 K is -0.01 eV/atom.

***

Entry 17:
Entry from Alexandria: a relaxed structure of CaIrOs2 (GGA-PBEsol).

Cell: 2.8066 2.8066 8.2418 Å, 90.00 90.00 90.00°
Closest atoms and distances in Å follow each position.
Space group P4mm (No. 99)
Unique sites:
1 Ca 0.0000 0.0000 0.0000 x1  4 Ca 2.81, 4 Ir 3.06, 4 Os 3.11
2 Ir 0.5000 0.5000 0.2828 x1  4 Os 2.68, 4 Ir 2.81
3 Os 0.0000 0.0000 0.5013 x1  8 Os 2.62-2.81, 4 Ir 2.68
4 Os 0.5000 0.5000 0.7092 x1  8 Os 2.62-2.81

Its energy above the most stable polymorph in this dataset is 0.00 eV per formula unit. The density of states at the Fermi level is 0.8672 states/eV per atom. Its formation enthalpy at 0 K is 0.24 eV/atom.

***

Entry 18:
Entry from Alexandria: a relaxed structure of TaFeCo2 (GGA-PBEsol).

Cell: 3.6558 3.6558 7.1300 Å, 90.00 90.00 90.00°
Closest atoms and distances in Å follow each position.
Space group I4/mmm (No. 139)
Unique sites:
1 Ta 0.0000 0.0000 0.0000 x2  8 Co 2.55, 4 Fe 2.59
2 Fe 0.0000 0.0000 0.5000 x2  8 Co 2.55, 4 Ta 2.59
3 Co 0.0000 0.5000 0.2500 x4  4 Ta 2.55, 4 Fe 2.55, 4 Co 2.59

Its energy above the most stable polymorph in this dataset is 0.27 eV per formula unit. The density of states at the Fermi level is 1.3021 states/eV per atom. Its formation enthalpy at 0 K is -0.14 eV/atom.

***

Entry 19:
Entry from Alexandria: a relaxed structure of Sm2CdIr (GGA-PBEsol).

Cell: 7.1496 7.1496 7.1496 Å, 90.00 90.00 90.00°
Closest atoms and distances in Å follow each position.
Space group Fm-3m (No. 225)
Unique sites:
1 Sm 0.2500 0.2500 0.2500 x8  4 Cd 3.10, 4 Ir 3.10
2 Cd 0.0000 0.0000 0.0000 x4  8 Sm 3.10
3 Ir 0.0000 0.0000 0.5000 x4  8 Sm 3.10

The density of states at the Fermi level is 0.5715 states/eV per atom. Its formation enthalpy at 0 K is -0.45 eV/atom.

***

Entry 20:
Entry from Alexandria: a relaxed structure of KCd2Sb (GGA-PBEsol).

Cell: 3.2696 4.5377 7.6754 Å, 90.00 102.35 90.00°
Closest atoms and distances in Å follow each position.
Space group Pm (No. 6)
Unique sites:
1 K 0.0000 0.0000 0.0000 x1  2 K 3.27, 4 Sb 3.52, 1 Cd 3.59
2 Cd 0.3388 0.5000 0.6744 x1  6 Cd 3.02-3.27, 2 Sb 3.35
3 Cd 0.7634 0.0000 0.5214 x1  2 Sb 2.88, 4 Cd 3.02
4 Sb 0.6423 0.5000 0.2843 x1  2 Cd 2.88

The density of states at the Fermi level is 0.3291 states/eV per atom. The formation energy without anion corrections comes out at -36 kJ/mol of formula units.